# 1
DFT (PBE) results for an optimized crystal structure of UH6Rh.

Computed properties:
V   8.22 A^3/atom
VASP energy   -40.047 eV/f.u.

Lattice parameters (Å, degrees): 4.4073 4.4073 4.6706 118.29 118.29 59.97
Fractional positions:
U: 0.0000 0.0000 0.0000
H: 0.0565 0.6001 0.2561
H: 0.3998 0.3998 0.7426
H: 0.3999 0.9435 0.7439
H: 0.6001 0.0565 0.2561
H: 0.6002 0.6002 0.2574
H: 0.9435 0.3999 0.7439
Rh: 0.5000 0.5000 0.5000



# 2
DFT (PBE) results for an optimized crystal structure of UH6Rh3.

Computed properties:
V   8.68 A^3/atom
VASP energy   -55.260 eV/f.u.

Lattice parameters (Å, degrees): 4.9597 4.9597 4.9597 60.26 60.26 60.26
Fractional positions:
U: 0.0000 0.0000 0.0000
H: 0.0018 0.5196 0.4806
H: 0.1286 0.4999 0.8718
H: 0.4806 0.0018 0.5196
H: 0.4999 0.8718 0.1286
H: 0.5196 0.4806 0.0018
H: 0.8718 0.1286 0.4999
Rh: 0.2478 0.2478 0.2478
Rh: 0.4998 0.4998 0.4998
Rh: 0.7523 0.7523 0.7523



# 3
DFT (PBE) results for an optimized crystal structure of UHRh.

Computed properties:
V   14.52 A^3/atom
Energy above the lowest structure with this stoichiometry   50 meV per atom

Lattice parameters (Å, degrees): 4.8448 4.8448 7.9916 90.00 90.00 111.76
Fractional positions:
U: 0.1417 0.8583 0.9121
U: 0.3583 0.6417 0.4121
U: 0.6417 0.3583 0.5879
U: 0.8583 0.1417 0.0879
H: 0.1439 0.8561 0.6069
H: 0.3561 0.6439 0.1069
H: 0.6439 0.3561 0.8931
H: 0.8561 0.1439 0.3931
Rh: 0.1358 0.3642 0.7500
Rh: 0.3642 0.1358 0.2500
Rh: 0.6358 0.8642 0.7500
Rh: 0.8642 0.6358 0.2500



# 4
DFT (PBE) results for an optimized crystal structure of UH6Rh2.

Computed properties:
V   8.99 A^3/atom
VASP energy   -46.825 eV/f.u.

Lattice parameters (Å, degrees): 4.4542 4.4692 8.4239 90.00 105.11 90.00
Fractional positions:
U: 0.0000 0.0000 0.0000
U: 0.0000 0.5000 0.5000
H: 0.0309 0.1279 0.2936
H: 0.0309 0.3721 0.7936
H: 0.4396 0.6683 0.1156
H: 0.4396 0.8317 0.6156
H: 0.4678 0.6659 0.3915
H: 0.4678 0.8341 0.8915
H: 0.5322 0.1659 0.1085
H: 0.5322 0.3341 0.6085
H: 0.5604 0.1683 0.3844
H: 0.5604 0.3317 0.8844
H: 0.9691 0.6279 0.2064
H: 0.9691 0.8721 0.7064
Rh: 0.2961 0.1035 0.7245
Rh: 0.2961 0.3965 0.2245
Rh: 0.7039 0.6035 0.7755
Rh: 0.7039 0.8965 0.2755



Look up the V of the first one. 8.22 A^3/atom



Which of these has the highest V? UHRh



Copy entry 2 word for word.
DFT (PBE) results for an optimized crystal structure of UH6Rh3.

Computed properties:
V   8.68 A^3/atom
VASP energy   -55.260 eV/f.u.

Lattice parameters (Å, degrees): 4.9597 4.9597 4.9597 60.26 60.26 60.26
Fractional positions:
U: 0.0000 0.0000 0.0000
H: 0.0018 0.5196 0.4806
H: 0.1286 0.4999 0.8718
H: 0.4806 0.0018 0.5196
H: 0.4999 0.8718 0.1286
H: 0.5196 0.4806 0.0018
H: 0.8718 0.1286 0.4999
Rh: 0.2478 0.2478 0.2478
Rh: 0.4998 0.4998 0.4998
Rh: 0.7523 0.7523 0.7523